(1)
# Mg2BeTe (PBE, optimized geometry)
# E_form (uncorrected) = 0.2512 eV/atom
# Energy = -2.263 eV/atom
data_Mg2BeTe
_symmetry_space_group_name_H-M 'I -4 2 d'
_symmetry_Int_Tables_number 122
_symmetry_space_group_name_Hall 'I -4 2bw'
_cell_length_a 7.621
_cell_length_b 7.621
_cell_length_c 6.066
_cell_angle_alpha 90.00
_cell_angle_beta 90.00
_cell_angle_gamma 90.00
loop_
_atom_site_label
_atom_site_fract_x
_atom_site_fract_y
_atom_site_fract_z
Mg1 0.219 0.750 0.125
Be1 0.000 0.000 0.000
Te1 0.000 0.000 0.500



(2)
# ThScSi2Tc (PBE, optimized geometry)
# E_form (uncorrected) = -0.7078 eV/atom
# Energy = -7.700 eV/atom
data_ThScSi2Tc
_symmetry_space_group_name_H-M 'I -4 m 2'
_symmetry_Int_Tables_number 119
_symmetry_space_group_name_Hall 'I -4 -2'
_cell_length_a 4.109
_cell_length_b 4.109
_cell_length_c 11.374
_cell_angle_alpha 90.00
_cell_angle_beta 90.00
_cell_angle_gamma 90.00
loop_
_atom_site_label
_atom_site_fract_x
_atom_site_fract_y
_atom_site_fract_z
Th1 0.000 0.000 0.000
Sc1 0.000 0.500 0.250
Si1 0.000 0.000 0.394
Tc1 0.000 0.500 0.750



(3)
# DyY4Au5 (PBE, optimized geometry)
# Energy = -5.547 eV/atom
data_DyY4Au5
_symmetry_space_group_name_H-M 'P 4/m m m'
_symmetry_Int_Tables_number 123
_symmetry_space_group_name_Hall '-P 4 2'
_cell_length_a 3.578
_cell_length_b 3.578
_cell_length_c 18.303
_cell_angle_alpha 90.00
_cell_angle_beta 90.00
_cell_angle_gamma 90.00
loop_
_atom_site_label
_atom_site_fract_x
_atom_site_fract_y
_atom_site_fract_z
Dy1 0.000 0.000 0.000
Y1 0.000 0.000 0.200
Y2 0.000 0.000 0.400
Au1 0.500 0.500 0.099
Au2 0.500 0.500 0.300
Au3 0.500 0.500 0.500



(4)
# NpTePd (PBE, optimized geometry)
# E_form (uncorrected) = -0.3596 eV/atom
# Energy = -7.451 eV/atom
data_NpTePd
_symmetry_space_group_name_H-M 'F -4 3 m'
_symmetry_Int_Tables_number 216
_symmetry_space_group_name_Hall 'F -4 2 3'
_cell_length_a 6.708
_cell_length_b 6.708
_cell_length_c 6.708
_cell_angle_alpha 90.00
_cell_angle_beta 90.00
_cell_angle_gamma 90.00
loop_
_atom_site_label
_atom_site_fract_x
_atom_site_fract_y
_atom_site_fract_z
Np1 0.000 0.000 0.000
Te1 0.000 0.000 0.500
Pd1 0.250 0.250 0.250



(5)
# TbPm5DyTm2 (PBE, optimized geometry)
# Energy = -4.510 eV/atom
data_TbPm5DyTm2
_symmetry_space_group_name_H-M 'C m c 21'
_symmetry_Int_Tables_number 36
_cell_length_a 5.625
_cell_length_b 20.229
_cell_length_c 10.661
_cell_angle_alpha 90.00
_cell_angle_beta 90.00
_cell_angle_gamma 90.00
loop_
_symmetry_equiv_pos_as_xyz
'x,y,z'
'-x,-y,z+1/2'
'-x,y,z'
'x,-y,z+1/2'
'x+1/2,y+1/2,z'
'-x+1/2,-y+1/2,z+1/2'
'-x+1/2,y+1/2,z'
'x+1/2,-y+1/2,z+1/2'
loop_
_atom_site_label
_atom_site_fract_x
_atom_site_fract_y
_atom_site_fract_z
Tb1 0.000 0.199 0.000
Pm1 0.000 0.017 0.009
Pm2 0.000 0.281 0.300
Pm3 0.000 0.298 0.696
Pm4 0.000 0.388 0.012
Pm5 0.000 0.481 0.731
Dy1 0.000 0.410 0.448
Tm1 0.000 0.111 0.728
Tm2 0.000 0.115 0.303



(6)
# Ca2TlHO (PBE, optimized geometry)
# Energy = -2.795 eV/atom
data_Ca2TlHO
_symmetry_space_group_name_H-M 'P 4/m m m'
_symmetry_Int_Tables_number 123
_symmetry_space_group_name_Hall '-P 4 2'
_cell_length_a 5.714
_cell_length_b 5.714
_cell_length_c 3.932
_cell_angle_alpha 90.00
_cell_angle_beta 90.00
_cell_angle_gamma 90.00
loop_
_atom_site_label
_atom_site_fract_x
_atom_site_fract_y
_atom_site_fract_z
Ca1 0.000 0.500 0.000
Tl1 0.000 0.000 0.000
H1 0.000 0.000 0.500
O1 0.500 0.500 0.500



(7)
# HgIN2 (PBE, optimized geometry)
# E_form (uncorrected) = 1.5413 eV/atom
# Energy = -3.084 eV/atom
data_HgIN2
_symmetry_space_group_name_H-M 'R -3 m'
_symmetry_Int_Tables_number 166
_symmetry_space_group_name_Hall '-R 3 2"'
_cell_length_a 3.6148
_cell_length_b 3.6148
_cell_length_c 19.2067
_cell_angle_alpha 90.00
_cell_angle_beta 90.00
_cell_angle_gamma 120.00
loop_
_atom_site_label
_atom_site_fract_x
_atom_site_fract_y
_atom_site_fract_z
Hg1 0.0000 0.0000 0.0000
I1 0.0000 0.0000 0.5000
N1 0.0000 0.0000 0.3888



(8)
# Pr3BiTe3 (PBE, optimized geometry)
# E_form (uncorrected) = -1.2189 eV/atom
# Energy = -5.168 eV/atom
data_Pr3BiTe3
_symmetry_space_group_name_H-M 'P m -3 m'
_symmetry_Int_Tables_number 221
_symmetry_space_group_name_Hall '-P 4 2 3'
_cell_length_a 6.424
_cell_length_b 6.424
_cell_length_c 6.424
_cell_angle_alpha 90.00
_cell_angle_beta 90.00
_cell_angle_gamma 90.00
loop_
_atom_site_label
_atom_site_fract_x
_atom_site_fract_y
_atom_site_fract_z
Pr1 0.000 0.000 0.500
Bi1 0.000 0.000 0.000
Te1 0.000 0.500 0.500



(9)
# SrZr2Ni (PBE, optimized geometry)
# Energy = -5.685 eV/atom
data_SrZr2Ni
_symmetry_space_group_name_H-M 'P m m m'
_symmetry_Int_Tables_number 47
_cell_length_a 3.595
_cell_length_b 4.716
_cell_length_c 5.443
_cell_angle_alpha 90.00
_cell_angle_beta 90.00
_cell_angle_gamma 90.00
loop_
_symmetry_equiv_pos_as_xyz
'x,y,z'
'-x,-y,-z'
'-x,-y,z'
'x,y,-z'
'x,-y,-z'
'-x,y,z'
'-x,y,-z'
'x,-y,z'
loop_
_atom_site_label
_atom_site_fract_x
_atom_site_fract_y
_atom_site_fract_z
Sr1 0.000 0.000 0.000
Zr1 0.000 0.500 0.500
Zr2 0.500 0.000 0.500
Ni1 0.500 0.500 0.000



(10)
# La2ZnGeH (PBE, optimized geometry)
# Energy = -4.304 eV/atom
data_La2ZnGeH
_symmetry_space_group_name_H-M 'P 4/m m m'
_symmetry_Int_Tables_number 123
_symmetry_space_group_name_Hall '-P 4 2'
_cell_length_a 5.005
_cell_length_b 5.005
_cell_length_c 4.197
_cell_angle_alpha 90.00
_cell_angle_beta 90.00
_cell_angle_gamma 90.00
loop_
_atom_site_label
_atom_site_fract_x
_atom_site_fract_y
_atom_site_fract_z
La1 0.000 0.500 0.000
Zn1 0.000 0.000 0.500
Ge1 0.500 0.500 0.500
H1 0.000 0.000 0.000



Q: Among the records above, which one has the lowest energy?
A: ThScSi2Tc



Repeat the seventh record exactly.
# HgIN2 (PBE, optimized geometry)
# E_form (uncorrected) = 1.5413 eV/atom
# Energy = -3.084 eV/atom
data_HgIN2
_symmetry_space_group_name_H-M 'R -3 m'
_symmetry_Int_Tables_number 166
_symmetry_space_group_name_Hall '-R 3 2"'
_cell_length_a 3.6148
_cell_length_b 3.6148
_cell_length_c 19.2067
_cell_angle_alpha 90.00
_cell_angle_beta 90.00
_cell_angle_gamma 120.00
loop_
_atom_site_label
_atom_site_fract_x
_atom_site_fract_y
_atom_site_fract_z
Hg1 0.0000 0.0000 0.0000
I1 0.0000 0.0000 0.5000
N1 0.0000 0.0000 0.3888



Q: The highest energy belongs to which entry?
A: Mg2BeTe



Q: The lowest energy belongs to which entry?
A: ThScSi2Tc